This record from Alexandria describes crystalline Y2TlSbF at its relaxed geometry. The functional is PBE-GGA.

Calculated values
DOS(E_F) = 1.31 states/eV per atom
Mass density = 4.7 g cm⁻³
Space-group type = No. 123
ΔE_f (raw) = 124 meV/atom

Lattice parameters (Å, degrees): 5.823 5.823 5.441 90.00 90.00 90.00
Sites, in units of the cell vectors:
Y: 0.000 0.500 0.000
Y: 0.500 0.000 0.000
Tl: 0.000 0.000 0.000
Sb: 0.000 0.000 0.500
F: 0.500 0.500 0.500


This record from Alexandria describes crystalline TbThAlGa at its relaxed geometry. The functional is PBE-GGA.

Calculated values
DOS(E_F) = 0.98 states/eV per atom
Energy of formation from the pure elements = -462 meV/atom
Mass density = 7.9 g cm⁻³
Space-group type = No. 38
Relative energy among the computed polymorphs = 0.0 meV per atom

Lattice parameters (Å, degrees): 4.126 4.432 11.199 90.00 90.00 90.00
Sites, in units of the cell vectors:
Tb: 0.000 0.000 0.000
Tb: 0.000 0.500 0.500
Th: 0.500 0.000 0.285
Th: 0.500 0.500 0.785
Al: 0.000 0.000 0.709
Al: 0.000 0.500 0.209
Ga: 0.500 0.000 0.566
Ga: 0.500 0.500 0.066


This record from Alexandria describes crystalline NpUTcRh at its relaxed geometry. The functional is PBE-GGA.

Calculated values
DOS(E_F) = 2.13 states/eV per atom
Energy of formation from the pure elements = -53 meV/atom
Mass density = 14.5 g cm⁻³
Space-group type = No. 216

Lattice parameters (Å, degrees): 6.763 6.763 6.763 90.00 90.00 90.00
Sites, in units of the cell vectors:
Np: 0.000 0.000 0.000
Np: 0.000 0.500 0.500
Np: 0.500 0.000 0.500
Np: 0.500 0.500 0.000
U: 0.000 0.000 0.500
U: 0.000 0.500 0.000
U: 0.500 0.000 0.000
U: 0.500 0.500 0.500
Tc: 0.250 0.250 0.750
Tc: 0.250 0.750 0.250
Tc: 0.750 0.250 0.250
Tc: 0.750 0.750 0.750
Rh: 0.250 0.250 0.250
Rh: 0.250 0.750 0.750
Rh: 0.750 0.250 0.750
Rh: 0.750 0.750 0.250


This record from Alexandria describes crystalline TcBiC3 at its relaxed geometry. The functional is PBE-GGA.

Calculated values
DOS(E_F) = 1.20 states/eV per atom
Energy of formation from the pure elements = 3812 meV/atom
Mass density = 7.0 g cm⁻³
Space-group type = No. 221
Relative energy among the computed polymorphs = 1994.1 meV per atom

Lattice parameters (Å, degrees): 4.333 4.333 4.333 90.00 90.00 90.00
Sites, in units of the cell vectors:
Tc: 0.000 0.000 0.000
Bi: 0.500 0.500 0.500
C: 0.000 0.500 0.500
C: 0.500 0.000 0.500
C: 0.500 0.500 0.000


This record from Alexandria describes crystalline PdSeS at its relaxed geometry. The functional is PBE-GGA.

Calculated values
DOS(E_F) = 0.12 states/eV per atom
Mass density = 5.8 g cm⁻³
Space-group type = No. 12
Relative energy among the computed polymorphs = 42.5 meV per atom
ΔE_f (raw) = -221 meV/atom

Lattice parameters (Å, degrees): 7.618 3.616 9.044 90.00 96.81 90.00
Sites, in units of the cell vectors:
Pd: 0.004 0.000 0.261
Pd: 0.496 0.500 0.739
Pd: 0.504 0.500 0.261
Pd: 0.996 0.000 0.739
Se: 0.116 0.500 0.109
Se: 0.384 0.000 0.891
Se: 0.616 0.000 0.109
Se: 0.884 0.500 0.891
S: 0.092 0.500 0.596
S: 0.408 0.000 0.404
S: 0.592 0.000 0.596
S: 0.908 0.500 0.404


This record from Alexandria describes crystalline La2YIr at its relaxed geometry. The functional is PBE-GGA.

Calculated values
DOS(E_F) = 1.05 states/eV per atom
Energy of formation from the pure elements = -263 meV/atom
Mass density = 7.7 g cm⁻³
Space-group type = No. 123
Relative energy among the computed polymorphs = 232.6 meV per atom

Lattice parameters (Å, degrees): 3.675 3.675 8.915 90.00 90.00 90.00
Sites, in units of the cell vectors:
La: 0.000 0.000 0.186
La: 0.000 0.000 0.814
Y: 0.500 0.500 0.500
Ir: 0.500 0.500 0.000


This record from Alexandria describes crystalline K2LiH2Se2O6 at its relaxed geometry. The functional is PBE-GGA.

Calculated values
DOS(E_F) = 0.04 states/eV per atom
Mass density = 2.4 g cm⁻³
Space-group type = No. 2
Relative energy among the computed polymorphs = 76.2 meV per atom

Lattice parameters (Å, degrees): 5.310 6.720 7.107 81.04 71.91 87.64
Sites, in units of the cell vectors:
K: 0.161 0.038 0.230
K: 0.839 0.962 0.770
Li: 0.000 0.500 0.500
H: 0.375 0.707 0.443
H: 0.625 0.293 0.557
Se: 0.320 0.614 0.846
Se: 0.680 0.386 0.154
O: 0.195 0.722 0.530
O: 0.277 0.849 0.907
O: 0.349 0.430 0.217
O: 0.651 0.570 0.783
O: 0.723 0.151 0.093
O: 0.805 0.278 0.470


This record from Alexandria describes crystalline CeNiAs at its relaxed geometry. The functional is PBE-GGA.

Calculated values
DOS(E_F) = 1.26 states/eV per atom
Energy of formation from the pure elements = -468 meV/atom
Mass density = 7.4 g cm⁻³
Space-group type = No. 107

Lattice parameters (Å, degrees): 3.895 3.895 8.119 90.00 90.00 90.00
Sites, in units of the cell vectors:
Ce: 0.000 0.000 0.000
Ce: 0.500 0.500 0.500
Ni: 0.000 0.000 0.647
Ni: 0.500 0.500 0.147
As: 0.000 0.000 0.353
As: 0.500 0.500 0.853


This record from Alexandria describes crystalline BaZn2Cd at its relaxed geometry. The functional is PBE-GGA.

Calculated values
DOS(E_F) = 0.77 states/eV per atom
Energy of formation from the pure elements = -175 meV/atom
Mass density = 5.7 g cm⁻³
Space-group type = No. 8

Lattice parameters (Å, degrees): 7.960 4.601 6.604 90.00 113.60 90.00
Sites, in units of the cell vectors:
Ba: 0.000 0.000 0.000
Ba: 0.500 0.500 0.000
Zn: 0.026 0.500 0.577
Zn: 0.199 0.000 0.599
Zn: 0.526 0.000 0.577
Zn: 0.699 0.500 0.599
Cd: 0.304 0.500 0.411
Cd: 0.804 0.000 0.411


This record from Alexandria describes crystalline MgFeMo at its relaxed geometry. The functional is PBE-GGA.

Calculated values
DOS(E_F) = 0.71 states/eV per atom
Energy of formation from the pure elements = 265 meV/atom
Mass density = 6.4 g cm⁻³
Space-group type = No. 42
Relative energy among the computed polymorphs = 57.1 meV per atom

Lattice parameters (Å, degrees): 3.173 4.353 13.313 90.00 90.00 90.00
Sites, in units of the cell vectors:
Mg: 0.000 0.000 0.000
Mg: 0.000 0.500 0.500
Mg: 0.500 0.000 0.500
Mg: 0.500 0.500 0.000
Fe: 0.000 0.000 0.334
Fe: 0.000 0.500 0.834
Fe: 0.500 0.000 0.834
Fe: 0.500 0.500 0.334
Mo: 0.000 0.000 0.684
Mo: 0.000 0.500 0.184
Mo: 0.500 0.000 0.184
Mo: 0.500 0.500 0.684


This record from Alexandria describes crystalline CePuOsRh at its relaxed geometry. The functional is PBE-GGA.

Calculated values
DOS(E_F) = 2.11 states/eV per atom
Energy of formation from the pure elements = -278 meV/atom
Mass density = 13.8 g cm⁻³
Space-group type = No. 216

Lattice parameters (Å, degrees): 6.876 6.876 6.876 90.00 90.00 90.00
Sites, in units of the cell vectors:
Ce: 0.000 0.000 0.000
Ce: 0.000 0.500 0.500
Ce: 0.500 0.000 0.500
Ce: 0.500 0.500 0.000
Pu: 0.000 0.000 0.500
Pu: 0.000 0.500 0.000
Pu: 0.500 0.000 0.000
Pu: 0.500 0.500 0.500
Os: 0.250 0.250 0.250
Os: 0.250 0.750 0.750
Os: 0.750 0.250 0.750
Os: 0.750 0.750 0.250
Rh: 0.250 0.250 0.750
Rh: 0.250 0.750 0.250
Rh: 0.750 0.250 0.250
Rh: 0.750 0.750 0.750


This record from Alexandria describes crystalline Pr6NdSmDy2 at its relaxed geometry. The functional is PBE-GGA.

Calculated values
DOS(E_F) = 1.49 states/eV per atom
Energy of formation from the pure elements = 112 meV/atom
Mass density = 6.9 g cm⁻³
Space-group type = No. 15

Lattice parameters (Å, degrees): 9.020 9.020 9.857 94.23 94.23 117.43
Sites, in units of the cell vectors:
Pr: 0.014 0.566 0.185
Pr: 0.110 0.758 0.555
Pr: 0.242 0.890 0.945
Pr: 0.296 0.510 0.380
Pr: 0.434 0.986 0.315
Pr: 0.490 0.704 0.120
Pr: 0.510 0.296 0.880
Pr: 0.566 0.014 0.685
Pr: 0.704 0.490 0.620
Pr: 0.758 0.110 0.055
Pr: 0.890 0.242 0.445
Pr: 0.986 0.434 0.815
Nd: 0.407 0.593 0.750
Nd: 0.593 0.407 0.250
Sm: 0.028 0.972 0.250
Sm: 0.972 0.028 0.750
Dy: 0.196 0.292 0.047
Dy: 0.292 0.196 0.547
Dy: 0.708 0.804 0.453
Dy: 0.804 0.708 0.953